Entry 1:
The following is a DFT calculation (GGA-PBE) of an optimized crystal structure of VAsH3.

Geometry as CIF:
```
data_VAsH3
_cell_length_a 3.4874
_cell_length_b 3.4874
_cell_length_c 3.4874
_cell_angle_alpha 90.00
_cell_angle_beta 90.00
_cell_angle_gamma 90.00
_space_group_name_H-M_alt 'P m -3 m'
_space_group_IT_number 221
_space_group_name_Hall '-P 4 2 3'
loop_
_atom_site_label
_atom_site_type_symbol
_atom_site_fract_x
_atom_site_fract_y
_atom_site_fract_z
_atom_site_occupancy
V1 V 0.0000 0.0000 0.0000 1
As1 As 0.5000 0.5000 0.5000 1
H1 H 0.0000 0.0000 0.5000 1
```

Properties
Relative energy among the computed polymorphs (kJ per mole of atoms): 0.00
DOS at the Fermi energy (states/eV per cell): 2.087
Size of the total moment (μB per cell): 1.025

Entry 2:
The following is a DFT calculation (GGA-PBE) of an optimized crystal structure of VAsH.

Geometry as CIF:
```
data_VAsH
_cell_length_a 3.7119
_cell_length_b 3.5819
_cell_length_c 6.2860
_cell_angle_alpha 90.00
_cell_angle_beta 106.91
_cell_angle_gamma 90.00
_space_group_name_H-M_alt 'P 1 21/m 1'
_space_group_IT_number 11
_space_group_name_Hall '-P 2yb'
loop_
_atom_site_label
_atom_site_type_symbol
_atom_site_fract_x
_atom_site_fract_y
_atom_site_fract_z
_atom_site_occupancy
V1 V 0.2462 0.2500 0.4918 1
As1 As 0.4011 0.7500 0.8063 1
H1 H 0.1954 0.7500 0.3886 1
```

Properties
Relative energy among the computed polymorphs (kJ per mole of atoms): 15.55
DOS at the Fermi energy (states/eV per cell): 2.947
Size of the total moment (μB per cell): 0.000

Entry 3:
The following is a DFT calculation (GGA-PBE) of an optimized crystal structure of VAs3H.

Geometry as CIF:
```
data_VAs3H
_cell_length_a 4.2289
_cell_length_b 4.2289
_cell_length_c 4.2289
_cell_angle_alpha 90.00
_cell_angle_beta 90.00
_cell_angle_gamma 90.00
_space_group_name_H-M_alt 'P m -3 m'
_space_group_IT_number 221
_space_group_name_Hall '-P 4 2 3'
loop_
_atom_site_label
_atom_site_type_symbol
_atom_site_fract_x
_atom_site_fract_y
_atom_site_fract_z
_atom_site_occupancy
V1 V 0.0000 0.0000 0.0000 1
As1 As 0.0000 0.5000 0.5000 1
H1 H 0.5000 0.5000 0.5000 1
```

Properties
Total energy (eV per cell): -23.750
DOS at the Fermi energy (states/eV per cell): 4.253
Size of the total moment (μB per cell): 2.715

Entry 4:
The following is a DFT calculation (GGA-PBE) of an optimized crystal structure of V2As2H.

Geometry as CIF:
```
data_V2As2H
_cell_length_a 6.2945
_cell_length_b 4.8269
_cell_length_c 9.0133
_cell_angle_alpha 90.00
_cell_angle_beta 90.00
_cell_angle_gamma 90.00
_space_group_name_H-M_alt 'P n m a'
_space_group_IT_number 62
_space_group_name_Hall '-P 2ac 2n'
loop_
_atom_site_label
_atom_site_type_symbol
_atom_site_fract_x
_atom_site_fract_y
_atom_site_fract_z
_atom_site_occupancy
V1 V 0.0603 0.2500 0.2452 1
V2 V 0.1488 0.2500 0.9403 1
As1 As 0.0022 0.2500 0.6904 1
As2 As 0.2264 0.7500 0.9818 1
H1 H 0.2024 0.7500 0.6293 1
```

Properties
Total energy (eV per cell): -126.523
DOS at the Fermi energy (states/eV per cell): 15.261
Size of the total moment (μB per cell): 4.330

Entry 5:
The following is a DFT calculation (GGA-PBE) of an optimized crystal structure of V4As3H.

Geometry as CIF:
```
data_V4As3H
_cell_length_a 8.7394
_cell_length_b 7.0434
_cell_length_c 4.3889
_cell_angle_alpha 90.00
_cell_angle_beta 90.00
_cell_angle_gamma 90.00
_space_group_name_H-M_alt 'P m n 21'
_space_group_IT_number 31
_space_group_name_Hall 'P 2ac -2'
loop_
_atom_site_label
_atom_site_type_symbol
_atom_site_fract_x
_atom_site_fract_y
_atom_site_fract_z
_atom_site_occupancy
V1 V 0.0000 0.0772 0.0000 1
V2 V 0.0000 0.8692 0.4969 1
V3 V 0.2431 0.1040 0.4967 1
As1 As 0.0000 0.7060 0.9970 1
As2 As 0.2293 0.2715 0.9965 1
H1 H 0.0000 0.1216 0.4871 1
```

Properties
Total energy (eV per cell): -111.573
DOS at the Fermi energy (states/eV per cell): 16.907
Size of the total moment (μB per cell): 0.074

Entry 6:
The following is a DFT calculation (GGA-PBE) of an optimized crystal structure of VAsH3.

Geometry as CIF:
```
data_VAsH3
_cell_length_a 3.7037
_cell_length_b 3.7037
_cell_length_c 3.7037
_cell_angle_alpha 90.00
_cell_angle_beta 90.00
_cell_angle_gamma 90.00
_space_group_name_H-M_alt 'P m -3 m'
_space_group_IT_number 221
_space_group_name_Hall '-P 4 2 3'
loop_
_atom_site_label
_atom_site_type_symbol
_atom_site_fract_x
_atom_site_fract_y
_atom_site_fract_z
_atom_site_occupancy
V1 V 0.0000 0.0000 0.0000 1
As1 As 0.5000 0.5000 0.5000 1
H1 H 0.0000 0.5000 0.5000 1
```

Properties
Relative energy among the computed polymorphs (kJ per mole of atoms): 49.88
DOS at the Fermi energy (states/eV per cell): 4.090
Size of the total moment (μB per cell): 3.625

Entry 7:
The following is a DFT calculation (GGA-PBE) of an optimized crystal structure of V3As2H2.

Geometry as CIF:
```
data_V3As2H2
_cell_length_a 8.7344
_cell_length_b 3.2735
_cell_length_c 6.0998
_cell_angle_alpha 90.00
_cell_angle_beta 111.10
_cell_angle_gamma 90.00
_space_group_name_H-M_alt 'C 1 2/m 1'
_space_group_IT_number 12
_space_group_name_Hall '-C 2y'
loop_
_atom_site_label
_atom_site_type_symbol
_atom_site_fract_x
_atom_site_fract_y
_atom_site_fract_z
_atom_site_occupancy
V1 V 0.0000 0.0000 0.0000 1
V2 V 0.1716 0.5000 0.7745 1
As1 As 0.1356 0.5000 0.3289 1
H1 H 0.1731 0.0000 0.9184 1
```

Properties
Total energy (eV per cell): -90.860
DOS at the Fermi energy (states/eV per cell): 6.354
Size of the total moment (μB per cell): 0.000

Entry 8:
The following is a DFT calculation (GGA-PBE) of an optimized crystal structure of V7As2H2.

Geometry as CIF:
```
data_V7As2H2
_cell_length_a 8.0002
_cell_length_b 7.8023
_cell_length_c 4.4720
_cell_angle_alpha 90.00
_cell_angle_beta 100.08
_cell_angle_gamma 90.00
_space_group_name_H-M_alt 'C 1 2/m 1'
_space_group_IT_number 12
_space_group_name_Hall '-C 2y'
loop_
_atom_site_label
_atom_site_type_symbol
_atom_site_fract_x
_atom_site_fract_y
_atom_site_fract_z
_atom_site_occupancy
V1 V 0.0000 0.0000 0.0000 1
V2 V 0.0998 0.5000 0.7382 1
V3 V 0.2013 0.3205 0.2118 1
As1 As 0.0000 0.1941 0.5000 1
H1 H 0.2185 0.0000 0.9667 1
```

Properties
Total energy (eV per cell): -160.785
DOS at the Fermi energy (states/eV per cell): 20.738
Size of the total moment (μB per cell): 1.980

Entry 9:
The following is a DFT calculation (GGA-PBE) of an optimized crystal structure of V6AsH2.

Geometry as CIF:
```
data_V6AsH2
_cell_length_a 10.1141
_cell_length_b 3.2485
_cell_length_c 7.1875
_cell_angle_alpha 90.00
_cell_angle_beta 111.12
_cell_angle_gamma 90.00
_space_group_name_H-M_alt 'C 1 2/m 1'
_space_group_IT_number 12
_space_group_name_Hall '-C 2y'
loop_
_atom_site_label
_atom_site_type_symbol
_atom_site_fract_x
_atom_site_fract_y
_atom_site_fract_z
_atom_site_occupancy
V1 V 0.0004 0.0000 0.1730 1
V2 V 0.1700 0.5000 0.0776 1
V3 V 0.1810 0.5000 0.5651 1
As1 As 0.0000 0.0000 0.5000 1
H1 H 0.1867 0.0000 0.1931 1
```

Properties
Total energy (eV per cell): -130.827
DOS at the Fermi energy (states/eV per cell): 12.695
Size of the total moment (μB per cell): 0.000

Entry 10:
The following is a DFT calculation (GGA-PBE) of an optimized crystal structure of V12As5H2.

Geometry as CIF:
```
data_V12As5H2
_cell_length_a 12.6662
_cell_length_b 6.3797
_cell_length_c 6.8093
_cell_angle_alpha 90.00
_cell_angle_beta 105.56
_cell_angle_gamma 90.00
_space_group_name_H-M_alt 'C 1 2/m 1'
_space_group_IT_number 12
_space_group_name_Hall '-C 2y'
loop_
_atom_site_label
_atom_site_type_symbol
_atom_site_fract_x
_atom_site_fract_y
_atom_site_fract_z
_atom_site_occupancy
V1 V 0.0017 0.0000 0.1666 1
V2 V 0.0029 0.5000 0.2486 1
V3 V 0.1336 0.2647 0.5641 1
V4 V 0.1358 0.2476 0.0715 1
As1 As 0.0000 0.0000 0.5000 1
As2 As 0.2084 0.5000 0.8565 1
As3 As 0.2153 0.5000 0.3555 1
H1 H 0.0000 0.3485 0.0000 1
```

Properties
Total energy (eV per cell): -284.278
DOS at the Fermi energy (states/eV per cell): 28.042
Size of the total moment (μB per cell): 0.001

Entry 11:
The following is a DFT calculation (GGA-PBE) of an optimized crystal structure of VAsH.

Geometry as CIF:
```
data_VAsH
_cell_length_a 3.7489
_cell_length_b 3.7489
_cell_length_c 6.6540
_cell_angle_alpha 90.00
_cell_angle_beta 90.00
_cell_angle_gamma 90.00
_space_group_name_H-M_alt 'P 4/n m m'
_space_group_IT_number 129
loop_
_space_group_symop_operation_xyz
'x,y,z'
'-x,-y,-z'
'-y+1/2,x,z'
'y+1/2,-x,-z'
'-x+1/2,-y+1/2,z'
'x+1/2,y+1/2,-z'
'y,-x+1/2,z'
'-y,x+1/2,-z'
'x+1/2,-y,-z'
'-x+1/2,y,z'
'-y,-x,-z'
'y,x,z'
'-x,y+1/2,-z'
'x,-y+1/2,z'
'y+1/2,x+1/2,-z'
'-y+1/2,-x+1/2,z'
loop_
_atom_site_label
_atom_site_type_symbol
_atom_site_fract_x
_atom_site_fract_y
_atom_site_fract_z
_atom_site_occupancy
V1 V 0.2500 0.7500 0.0000 1
As1 As 0.2500 0.2500 0.2435 1
H1 H 0.2500 0.2500 0.4739 1
```

Properties
Relative energy among the computed polymorphs (kJ per mole of atoms): 33.45
DOS at the Fermi energy (states/eV per cell): 3.447
Size of the total moment (μB per cell): 0.326

Entry 12:
The following is a DFT calculation (GGA-PBE) of an optimized crystal structure of V4As5H.

Geometry as CIF:
```
data_V4As5H
_cell_length_a 14.3082
_cell_length_b 3.0567
_cell_length_c 6.9919
_cell_angle_alpha 90.00
_cell_angle_beta 96.81
_cell_angle_gamma 90.00
_space_group_name_H-M_alt 'C 1 2/m 1'
_space_group_IT_number 12
_space_group_name_Hall '-C 2y'
loop_
_atom_site_label
_atom_site_type_symbol
_atom_site_fract_x
_atom_site_fract_y
_atom_site_fract_z
_atom_site_occupancy
V1 V 0.0074 0.0000 0.3101 1
V2 V 0.1608 0.5000 0.5701 1
As1 As 0.0000 0.5000 0.0000 1
As2 As 0.1574 0.0000 0.8565 1
As3 As 0.1748 0.0000 0.2949 1
H1 H 0.0000 0.5000 0.5000 1
```

Properties
Total energy (eV per cell): -128.138
DOS at the Fermi energy (states/eV per cell): 13.279
Size of the total moment (μB per cell): 0.000